# VCd2Rh (PBE, relaxed)
data_VCd2Rh
_cell_length_a 4.631
_cell_length_b 4.631
_cell_length_c 4.631
_cell_angle_alpha 60.00
_cell_angle_beta 60.00
_cell_angle_gamma 60.00
_space_group_name_H-M_alt 'P 1'
_space_group_IT_number 1
loop_
_space_group_symop_operation_xyz
'x,y,z'
loop_
_atom_site_label
_atom_site_fract_x
_atom_site_fract_y
_atom_site_fract_z
Cd1 0.750 0.750 0.750
Cd2 0.250 0.250 0.250
V1 0.000 0.000 0.000
Rh1 0.500 0.500 0.500
# Energy of formation: 20 kJ/mol of atoms
# Size of the total moment: 2.9 μB per cell
# E_tot: -17.48 eV for the cell shown